5
Lattice="-1.099 1.664 -4.840 3.630 -3.236 -1.937 -3.608 -3.763 -0.474" Properties=species:S:1:pos:R:3 comment="I4O | the Alexandria database | PBE | relaxed" dos_ef_per_ev_cell=7.68 total_energy_ev_per_cell=-8.316 magmom_total_mub_per_cell=0.0 crystal_system=cubic pbc="T T T"
I 0.000 0.000 0.000
I -2.353 -1.050 -2.657
I 0.011 -3.500 -1.206
I 1.265 -0.786 -3.388
O -0.538 -2.668 -3.626